# 1
# Er2IrI

Er2IrI after structural relaxation (GGA-PBE, Alexandria).

Calculated values
The total energy comes out at -0.2147 Ha/atom. For the energy above the most stable polymorph in this dataset, the calculation gives 0.05 eV per formula unit. The symmetry is Cm, No. 8. The value obtained for the spin magnetization is 0.00 μB/f.u.

Cell: 7.1637 4.1361 8.2055 Å, 90.00 90.21 90.00°
With the nearest neighbours (Å) after each atom.
Positions (direct):
Er 0.0000 0.0000 0.0000  3 Ir 2.78
Er 0.1681 0.5000 0.3343  3 Ir 2.73
Er 0.5000 0.5000 0.0000  3 Ir 2.78
Er 0.6681 0.0000 0.3343  3 Ir 2.73
Ir 0.3341 0.0000 0.1739  6 Er 2.73-2.78
Ir 0.8341 0.5000 0.1739  6 Er 2.73-2.78
I 0.1651 0.5000 0.7238  4 Er 3.20-3.29
I 0.6651 0.0000 0.7238  4 Er 3.20-3.29

# 2
# PmZnPt3

PmZnPt3 after structural relaxation (GGA-PBE, Alexandria).

Calculated values
The total energy comes out at -0.2047 Ha/atom. For the energy above the most stable polymorph in this dataset, the calculation gives 0.00 eV per formula unit. As for the energy of formation from the pure elements: -3.70 eV per formula unit. The symmetry is Imma, No. 74. The value obtained for the spin magnetization is 0.00 μB/f.u.

Cell: 6.6216 6.6216 6.6216 Å, 131.29 100.18 99.40°
With the nearest neighbours (Å) after each atom.
Positions (direct):
Pm 0.2833 0.0333 0.2500  7 Pt 3.03-3.24
Pm 0.7167 0.9667 0.7500  7 Pt 3.03-3.24
Zn 0.0000 0.5000 0.5000  6 Pt 2.54-2.58
Zn 0.5000 0.5000 0.0000  6 Pt 2.54-2.58
Pt 0.0792 0.3292 0.7500  2 Zn 2.58, 4 Pt 2.75
Pt 0.2690 0.0000 0.7690  2 Zn 2.54, 4 Pt 2.73-2.75
Pt 0.2690 0.5000 0.2690  2 Zn 2.54, 4 Pt 2.73-2.75
Pt 0.7310 0.0000 0.2310  2 Zn 2.54, 4 Pt 2.73-2.75
Pt 0.7310 0.5000 0.7310  2 Zn 2.54, 4 Pt 2.73-2.75
Pt 0.9208 0.6708 0.2500  2 Zn 2.58, 4 Pt 2.75

# 3
# BeInC2

BeInC2 after structural relaxation (GGA-PBE, Alexandria).

Calculated values
The total energy comes out at -0.1519 Ha/atom. For the energy above the most stable polymorph in this dataset, the calculation gives 3.82 eV per formula unit. As for the energy of formation from the pure elements: 8.37 eV per formula unit. The symmetry is Fm-3m, No. 225. The value obtained for the spin magnetization is 0.00 μB/f.u.

Cell: 5.6049 5.6049 5.6049 Å, 90.00 90.00 90.00°
With the nearest neighbours (Å) after each atom.
Positions (direct):
Be 0.0000 0.0000 0.0000  8 C 2.43
Be 0.0000 0.5000 0.5000  8 C 2.43
Be 0.5000 0.0000 0.5000  8 C 2.43
Be 0.5000 0.5000 0.0000  8 C 2.43
In 0.0000 0.0000 0.5000  8 C 2.43
In 0.0000 0.5000 0.0000  8 C 2.43
In 0.5000 0.0000 0.0000  8 C 2.43
In 0.5000 0.5000 0.5000  8 C 2.43
C 0.2500 0.2500 0.2500  4 In 2.43, 4 Be 2.43
C 0.2500 0.2500 0.7500  4 Be 2.43, 4 In 2.43
C 0.2500 0.7500 0.2500  4 Be 2.43, 4 In 2.43
C 0.2500 0.7500 0.7500  4 In 2.43, 4 Be 2.43
C 0.7500 0.2500 0.2500  4 Be 2.43, 4 In 2.43
C 0.7500 0.2500 0.7500  4 In 2.43, 4 Be 2.43
C 0.7500 0.7500 0.2500  4 In 2.43, 4 Be 2.43
C 0.7500 0.7500 0.7500  4 Be 2.43, 4 In 2.43